Entry 1:
GGA-PBE Li8Cd6Ag, relaxed; space group = R-3, No. 148; energy relative to the elements = -0.142 eV/atom; E_tot = -1.7184 eV per atom; spin magnetization = 0.000 μB/f.u.
1.0
8.098 0.000 0.000
4.049 7.013 0.000
4.049 2.338 5.049
Cd Li Ag
6 8 1
Direct
0.170 0.624 0.761
0.624 0.445 0.761
0.376 0.555 0.239
0.445 0.170 0.761
0.830 0.376 0.239
0.555 0.830 0.239
0.747 0.747 0.759
0.860 0.051 0.720
0.368 0.860 0.720
0.632 0.140 0.280
0.949 0.632 0.280
0.051 0.368 0.720
0.140 0.949 0.280
0.253 0.253 0.241
0.000 0.000 0.000

Entry 2:
GGA-PBE V2CuCl6, relaxed; space group = C2/c, No. 15; E_tot = -4.7283 eV per atom; ΔE_f (raw) = -1.02 eV per atom; spin magnetization = 5.000 μB/f.u.
1.0
-1.104 -4.217 -4.378
-0.615 -8.449 3.245
-8.744 -2.345 -0.584
Cl V Cu
12 4 2
Direct
0.306 0.067 0.216
0.695 0.284 0.433
0.220 0.109 0.608
0.805 0.567 0.716
0.280 0.392 0.891
0.720 0.608 0.109
0.780 0.891 0.392
0.806 0.216 0.067
0.195 0.433 0.284
0.194 0.784 0.933
0.694 0.933 0.784
0.305 0.716 0.567
0.500 0.175 0.325
0.000 0.675 0.825
0.000 0.325 0.175
0.500 0.825 0.675
0.750 0.747 0.253
0.250 0.253 0.747

Entry 3:
GGA-PBE HfTc2SnH, relaxed; space group = P4/mmm, No. 123; offset from the most stable computed form = 23.3 kJ per mole of atoms; E_tot = -7.5103 eV per atom; spin magnetization = 0.000 μB/f.u.
1.0
-3.087 -0.748 2.773
2.620 -1.941 2.394
0.888 3.623 1.966
H Sn Tc Hf
1 1 2 1
Direct
0.000 0.000 0.000
0.000 0.500 0.000
0.000 0.000 0.500
0.500 0.000 0.000
0.500 0.500 0.500

> The highest E_tot belongs to which entry?

Li8Cd6Ag